(1)
Here is a relaxed structure of Al2TcCl from Alexandria. Energies are from PBEsol.

Its density of states at the Fermi level is 1.42 states/eV per cell. As for the density: 5.0 g cm⁻³. The value obtained for the formation energy from raw total energies is -0.3092 eV/atom. The space-group type is No. 166. The offset from the most stable computed form comes out at 0.110 eV/atom.

```
data_Al2TcCl
_chemical_formula_sum 'Al2 Tc1 Cl1'
_cell_length_a 3.027
_cell_length_b 3.027
_cell_length_c 8.043
_cell_angle_alpha 79.15
_cell_angle_beta 79.15
_cell_angle_gamma 60.00
_symmetry_space_group_name_H-M 'P 1'
_symmetry_Int_Tables_number 1
loop_
_symmetry_equiv_pos_as_xyz
'x,y,z'
loop_
_atom_site_label
_atom_site_type_symbol
_atom_site_fract_x
_atom_site_fract_y
_atom_site_fract_z
Al1 Al 0.255 0.255 0.235
Al2 Al 0.745 0.745 0.765
Tc1 Tc 0.000 0.000 0.000
Cl1 Cl 0.500 0.500 0.500
```

(2)
Here is a relaxed structure of TaAsRh3 from Alexandria. Energies are from PBEsol.

Its density of states at the Fermi level is 3.39 states/eV per cell. As for the density: 9.3 g cm⁻³. The space-group type is No. 221. The offset from the most stable computed form comes out at 0.411 eV/atom. The formation energy is 1.11 eV per atom.

```
data_TaAsRh3
_chemical_formula_sum 'Ta1 As1 Rh3'
_cell_length_a 4.649
_cell_length_b 4.649
_cell_length_c 4.649
_cell_angle_alpha 90.00
_cell_angle_beta 90.00
_cell_angle_gamma 90.00
_symmetry_space_group_name_H-M 'P 1'
_symmetry_Int_Tables_number 1
loop_
_symmetry_equiv_pos_as_xyz
'x,y,z'
loop_
_atom_site_label
_atom_site_type_symbol
_atom_site_fract_x
_atom_site_fract_y
_atom_site_fract_z
As1 As 0.500 0.500 0.500
Rh1 Rh 0.000 0.500 0.000
Rh2 Rh 0.000 0.000 0.500
Rh3 Rh 0.500 0.000 0.000
Ta1 Ta 0.000 0.000 0.000
```